Entry 1:
The following is a GGA-PBE calculation of an optimized crystal structure of PmAgIrPb, from Alexandria.

a b c (Å): 4.9788 4.9788 4.9788
angles (deg): 60.00 60.00 60.00
Element x y z (fractional)
Pm1 0.0000 0.0000 0.0000
Ag1 0.2500 0.2500 0.2500
Ir1 0.7500 0.7500 0.7500
Pb1 0.5000 0.5000 0.5000

Results
Its density of states at the Fermi level is 1.6 states/eV/f.u. The formation enthalpy at 0 K is -0.78 eV/f.u. The total magnetization comes out at 0.0 μB/cell. The crystal system is cubic.

Entry 2:
The following is a GGA-PBE calculation of an optimized crystal structure of PrZnCu2, from Alexandria.

a b c (Å): 4.8860 4.8860 3.9611
angles (deg): 90.00 90.00 117.86
Element x y z (fractional)
Pr1 0.0000 0.0000 0.0000
Zn1 0.5000 0.5000 0.5000
Cu1 0.0000 0.5000 0.5000
Cu2 0.5000 0.0000 0.5000

Results
Its density of states at the Fermi level is 2.8 states/eV/f.u. The formation enthalpy at 0 K is -0.13 eV/f.u. The total magnetization comes out at 0.0 μB/cell. The crystal system is orthorhombic.